Entry 1:
SmMgPO PBE-GGA relaxed; DFT total energy = -6.11 eV/atom; crystal system = orthorhombic; SG = Pmc2_1 (26); total moment = 0.0 μB/f.u.
1.0
4.510 0.000 0.000
0.000 6.072 0.000
0.000 0.000 5.822
Sm Mg P O
2 2 2 2
Direct
0.000 0.236 0.000
0.000 0.764 0.500
0.500 0.370 0.609
0.500 0.630 0.109
0.000 0.234 0.495
0.000 0.766 0.995
0.500 0.336 0.953
0.500 0.664 0.453



Entry 2:
SmMgPO PBE-GGA relaxed; DFT total energy = -5.99 eV/atom; crystal system = orthorhombic; SG = Pmc2_1 (26); total moment = 0.0 μB/f.u.
1.0
4.345 0.000 0.000
0.000 4.460 0.000
0.000 0.000 6.933
Sm Mg P O
2 2 2 2
Direct
0.000 0.187 0.000
0.000 0.813 0.500
0.500 0.319 0.352
0.500 0.681 0.852
0.500 0.181 0.698
0.500 0.819 0.198
0.000 0.314 0.343
0.000 0.686 0.843



Entry 3:
SmMgPO PBE-GGA relaxed; DFT total energy = -6.11 eV/atom; crystal system = tetragonal; SG = P4/nmm (129); total moment = 0.0 μB/f.u.
1.0
4.058 0.000 0.000
0.000 4.058 0.000
0.000 0.000 8.864
Sm Mg P O
2 2 2 2
Direct
0.250 0.250 0.126
0.750 0.750 0.874
0.250 0.750 0.500
0.750 0.250 0.500
0.250 0.250 0.675
0.750 0.750 0.325
0.250 0.750 0.000
0.750 0.250 0.000



Entry 4:
MgTaPO PBE-GGA relaxed; DFT total energy = -7.25 eV/atom; crystal system = orthorhombic; SG = Pmc2_1 (26); total moment = 0.0 μB/f.u.
1.0
3.363 0.000 0.000
0.000 6.349 0.000
0.000 0.000 5.763
Mg Ta P O
2 2 2 2
Direct
0.000 0.109 0.000
0.000 0.891 0.500
0.500 0.491 0.675
0.500 0.509 0.175
0.000 0.286 0.418
0.000 0.714 0.918
0.500 0.250 0.926
0.500 0.750 0.426